VASP calculation (PBE) on an optimized crystal structure of PuOsSe.

a b c (Å): 4.085 3.351 11.033
angles (deg): 90.00 90.00 127.55
Each line ends with the local moment (μB).
Element x y z (fractional)
1 Se 0.630 0.259 0.363  -0.03
2 Se 0.630 0.259 0.637  -0.03
3 Os 0.722 0.444 0.000  -0.57
4 Os 0.238 0.476 0.500  0.34
5 Pu 0.224 0.447 0.835  5.13
6 Pu 0.224 0.447 0.165  5.13

Properties
E_form (uncorrected) ... 0.0285 eV/atom
Total energy ... -57.921 eV per cell
SG ... Amm2 (38)

VASP calculation (PBE) on an optimized crystal structure of LiPuTa4N8.

a b c (Å): 6.352 6.352 6.304
angles (deg): 59.75 59.75 60.00
Each line ends with the local moment (μB).
Element x y z (fractional)
1 N 0.237 0.237 0.719  -0.06
2 N 0.237 0.806 0.719  -0.06
3 N 0.806 0.237 0.719  -0.06
4 N 0.736 0.246 0.283  0.00
5 N 0.246 0.736 0.283  0.00
6 N 0.240 0.240 0.280  -0.03
7 N 0.758 0.758 0.727  0.02
8 N 0.736 0.736 0.283  0.00
9 Ta 0.003 0.487 0.506  0.10
10 Ta 0.003 0.003 0.506  0.10
11 Ta 0.622 0.622 0.133  0.05
12 Ta 0.487 0.003 0.506  0.10
13 Li 0.000 0.000 0.999  0.00
14 Pu 0.387 0.387 0.838  4.58

Properties
E_form (uncorrected) ... -0.9301 eV/atom
Total energy ... -143.281 eV per cell
SG ... R3m (160)

VASP calculation (PBE) on an optimized crystal structure of Pm8CdPt2.

a b c (Å): 5.697 8.202 8.202
angles (deg): 115.02 97.92 97.92
Element x y z (fractional)
1 Pm 0.926 0.671 0.920
2 Pm 0.500 0.754 0.246
3 Pm 0.074 0.080 0.329
4 Pm 0.692 0.392 0.392
5 Pm 0.500 0.246 0.754
6 Pm 0.926 0.920 0.671
7 Pm 0.074 0.329 0.080
8 Pm 0.308 0.608 0.608
9 Pt 0.000 0.301 0.699
10 Pt 0.000 0.699 0.301
11 Cd 0.500 0.000 0.000

Properties
Total energy ... -55.470 eV per cell
E_form ... -0.406 eV per atom
SG ... C2/m (12)

VASP calculation (PBE) on an optimized crystal structure of Pr3Sm6Dy2Mg.

a b c (Å): 6.273 6.273 11.903
angles (deg): 95.09 95.09 120.11
Element x y z (fractional)
1 Dy 0.334 0.666 0.000
2 Dy 0.666 0.334 0.000
3 Sm 0.080 0.411 0.243
4 Sm 0.748 0.748 0.245
5 Sm 0.411 0.080 0.243
6 Sm 0.589 0.920 0.757
7 Sm 0.920 0.589 0.757
8 Sm 0.252 0.252 0.755
9 Pr 0.833 0.167 0.500
10 Pr 0.167 0.833 0.500
11 Pr 0.500 0.500 0.500
12 Mg 0.000 0.000 0.000

Properties
Total energy ... -53.083 eV per cell
E_form ... 0.031 eV per atom
SG ... C2/m (12)

VASP calculation (PBE) on an optimized crystal structure of Tc2Sb.

a b c (Å): 4.221 4.221 6.973
angles (deg): 90.00 90.00 120.00
Element x y z (fractional)
1 Sb 0.000 0.000 0.250
2 Sb 0.000 0.000 0.750
3 Tc 0.667 0.333 0.052
4 Tc 0.333 0.667 0.948
5 Tc 0.667 0.333 0.448
6 Tc 0.333 0.667 0.552

Properties
Excess energy over the best structure of this formula in the dataset ... 0.46 eV per formula unit
E_form (uncorrected) ... 0.2591 eV/atom
Total energy ... -48.154 eV per cell
SG ... P6_3/mmc (194)

VASP calculation (PBE) on an optimized crystal structure of NaTh2Sn9.

a b c (Å): 4.734 4.734 14.370
angles (deg): 90.00 90.00 90.00
Element x y z (fractional)
1 Sn 0.500 0.500 0.668
2 Sn 0.500 0.500 0.332
3 Sn 0.000 0.500 0.163
4 Sn 0.000 0.500 0.500
5 Sn 0.000 0.500 0.837
6 Sn 0.500 0.000 0.163
7 Sn 0.500 0.500 0.000
8 Sn 0.500 0.000 0.500
9 Sn 0.500 0.000 0.837
10 Th 0.000 0.000 0.661
11 Th 0.000 0.000 0.339
12 Na 0.000 0.000 0.000

Properties
Total energy ... -56.111 eV per cell
E_form ... -0.327 eV per atom
SG ... P4/mmm (123)